Entry 1:
# GGA-PBE HfBiIN2, optimized geometry
data_HfBiIN2
_cell_length_a 4.349
_cell_length_b 4.349
_cell_length_c 5.952
_cell_angle_alpha 90.00
_cell_angle_beta 90.00
_cell_angle_gamma 90.00
_space_group_name_H-M_alt 'P 4/m m m'
_space_group_IT_number 123
_space_group_name_Hall '-P 4 2'
loop_
_atom_site_label
_atom_site_type_symbol
_atom_site_fract_x
_atom_site_fract_y
_atom_site_fract_z
Hf1 Hf 0.000 0.000 0.000
Bi1 Bi 0.500 0.500 0.500
I1 I 0.500 0.500 0.000
N1 N 0.000 0.500 0.500
# Energy above the lowest structure with this stoichiometry, eV per atom: 1.283
# Formation energy without anion corrections, eV per atom: 1.789

---

Entry 2:
# GGA-PBE LiHfN2F, optimized geometry
data_LiHfN2F
_cell_length_a 4.143
_cell_length_b 4.143
_cell_length_c 4.198
_cell_angle_alpha 90.00
_cell_angle_beta 90.00
_cell_angle_gamma 90.00
_space_group_name_H-M_alt 'P 4/m m m'
_space_group_IT_number 123
_space_group_name_Hall '-P 4 2'
loop_
_atom_site_label
_atom_site_type_symbol
_atom_site_fract_x
_atom_site_fract_y
_atom_site_fract_z
Li1 Li 0.000 0.000 0.000
Hf1 Hf 0.500 0.500 0.500
N1 N 0.000 0.500 0.500
F1 F 0.500 0.500 0.000
# Energy above the lowest structure with this stoichiometry, eV per atom: 0.000
# Formation energy without anion corrections, eV per atom: -0.954